Crystalline Li4ErSc at its relaxed geometry, computed with PBE-GGA.

a = 5.6876 Å, b = 5.6876 Å, c = 5.6876 Å
α = 60.00°, β = 60.00°, γ = 60.00°
Closest atoms and distances in Å follow each position.
Sites, in units of the cell vectors:
Li 0.1241 0.1241 0.1241  6 Li 2.82-2.86
Li 0.1241 0.1241 0.6278  6 Li 2.82-2.86
Li 0.1241 0.6278 0.1241  6 Li 2.82-2.86
Li 0.6278 0.1241 0.1241  6 Li 2.82-2.86
Er 0.5000 0.5000 0.5000  12 Li 3.34, 4 Sc 3.48
Sc 0.7500 0.7500 0.7500  12 Li 3.33, 4 Er 3.48

Values from the calculation:
**Calculated formation energy**: 0.1474 eV per atom
**Electronic total energy**: -17.67 eV/cell
**SG**: F-43m
**Magnetization**: 0.0 μB/cell
**Crystal system**: cubic